# Er6In2CN | the Alexandria database | PBE-GGA | relaxed
data_Er6In2CN
_symmetry_space_group_name_H-M 'F m -3 m'
_symmetry_Int_Tables_number 225
_symmetry_space_group_name_Hall '-F 4 2 3'
_cell_length_a 9.6296
_cell_length_b 9.6296
_cell_length_c 9.6296
_cell_angle_alpha 90.00
_cell_angle_beta 90.00
_cell_angle_gamma 90.00
loop_
_atom_site_label
_atom_site_type_symbol
_atom_site_fract_x
_atom_site_fract_y
_atom_site_fract_z
Er1 Er 0.0000 0.0000 0.2504
In1 In 0.2500 0.2500 0.2500
C1 C 0.0000 0.0000 0.0000
N1 N 0.0000 0.0000 0.5000
# Crystal system   cubic
# Total energy   -5.832 eV per atom